# K2FeCo | the Alexandria database | GGA-PBE | relaxed
data_K2FeCo
_chemical_formula_sum 'K2 Fe1 Co1'
_space_group_name_H-M_alt 'P 1'
_space_group_IT_number 1
_cell_length_a 6.172
_cell_length_b 6.172
_cell_length_c 6.172
_cell_angle_alpha 141.13
_cell_angle_beta 141.63
_cell_angle_gamma 55.76
loop_
_space_group_symop_operation_xyz
'x,y,z'
loop_
_atom_site_label
_atom_site_type_symbol
_atom_site_fract_x
_atom_site_fract_y
_atom_site_fract_z
_atom_site_occupancy
Co1 Co 0.250 0.750 0.500 1
Fe1 Fe 0.750 0.250 0.500 1
K1 K 0.000 0.000 0.000 1
K2 K 0.500 0.500 0.000 1
# Relative energy among the computed polymorphs   637 meV per atom
# Raw total energy   -12.54 eV/f.u.
# Energy of formation   1.31 eV per atom
# Crystal system   orthorhombic
# Volume   22.721 Å³ per atom

***

# KFe3Co | the Alexandria database | GGA-PBE | relaxed
data_KFe3Co
_chemical_formula_sum 'K1 Fe3 Co1'
_space_group_name_H-M_alt 'P 1'
_space_group_IT_number 1
_cell_length_a 4.374
_cell_length_b 4.374
_cell_length_c 4.374
_cell_angle_alpha 90.00
_cell_angle_beta 90.00
_cell_angle_gamma 90.00
loop_
_space_group_symop_operation_xyz
'x,y,z'
loop_
_atom_site_label
_atom_site_type_symbol
_atom_site_fract_x
_atom_site_fract_y
_atom_site_fract_z
_atom_site_occupancy
K1 K 0.000 0.000 0.000 1
Co1 Co 0.500 0.500 0.500 1
Fe1 Fe 0.000 0.500 0.000 1
Fe2 Fe 0.000 0.000 0.500 1
Fe3 Fe 0.500 0.000 0.000 1
# Relative energy among the computed polymorphs   1618 meV per atom
# Raw total energy   -20.40 eV/f.u.
# Energy of formation   2.64 eV per atom
# Crystal system   cubic
# Volume   16.742 Å³ per atom

***

# KFeCo4 | the Alexandria database | GGA-PBE | relaxed
data_KFeCo4
_chemical_formula_sum 'K1 Fe1 Co4'
_space_group_name_H-M_alt 'P 1'
_space_group_IT_number 1
_cell_length_a 4.958
_cell_length_b 4.958
_cell_length_c 4.958
_cell_angle_alpha 60.00
_cell_angle_beta 60.00
_cell_angle_gamma 60.00
loop_
_space_group_symop_operation_xyz
'x,y,z'
loop_
_atom_site_label
_atom_site_type_symbol
_atom_site_fract_x
_atom_site_fract_y
_atom_site_fract_z
_atom_site_occupancy
K1 K 0.000 0.000 0.000 1
Fe1 Fe 0.750 0.750 0.750 1
Co1 Co 0.870 0.377 0.377 1
Co2 Co 0.377 0.377 0.870 1
Co3 Co 0.377 0.870 0.377 1
Co4 Co 0.377 0.377 0.377 1
# Raw total energy   -33.51 eV/f.u.
# Energy of formation   0.75 eV per atom
# Crystal system   cubic
# Volume   14.362 Å³ per atom

***

# KFe2Co | the Alexandria database | GGA-PBE | relaxed
data_KFe2Co
_chemical_formula_sum 'K1 Fe2 Co1'
_space_group_name_H-M_alt 'P 1'
_space_group_IT_number 1
_cell_length_a 2.831
_cell_length_b 2.831
_cell_length_c 8.698
_cell_angle_alpha 90.00
_cell_angle_beta 90.00
_cell_angle_gamma 90.07
loop_
_space_group_symop_operation_xyz
'x,y,z'
loop_
_atom_site_label
_atom_site_type_symbol
_atom_site_fract_x
_atom_site_fract_y
_atom_site_fract_z
_atom_site_occupancy
Co1 Co 0.500 0.500 0.750 1
Fe1 Fe 0.000 0.000 0.913 1
Fe2 Fe 0.000 0.000 0.587 1
K1 K 0.500 0.500 0.250 1
# Relative energy among the computed polymorphs   52 meV per atom
# Raw total energy   -22.36 eV/f.u.
# Energy of formation   0.69 eV per atom
# Crystal system   tetragonal
# Volume   17.432 Å³ per atom

***

# K2FeCo | the Alexandria database | GGA-PBE | relaxed
data_K2FeCo
_chemical_formula_sum 'K2 Fe1 Co1'
_space_group_name_H-M_alt 'P 1'
_space_group_IT_number 1
_cell_length_a 3.924
_cell_length_b 3.924
_cell_length_c 9.688
_cell_angle_alpha 78.89
_cell_angle_beta 78.89
_cell_angle_gamma 61.79
loop_
_space_group_symop_operation_xyz
'x,y,z'
loop_
_atom_site_label
_atom_site_type_symbol
_atom_site_fract_x
_atom_site_fract_y
_atom_site_fract_z
_atom_site_occupancy
Co1 Co 0.543 0.543 0.375 1
Fe1 Fe 0.207 0.207 0.375 1
K1 K 0.962 0.962 0.106 1
K2 K 0.787 0.787 0.644 1
# Relative energy among the computed polymorphs   35 meV per atom
# Raw total energy   -14.95 eV/f.u.
# Energy of formation   0.70 eV per atom
# Crystal system   monoclinic
# Volume   32.018 Å³ per atom

***

# KFe2Co | the Alexandria database | GGA-PBE | relaxed
data_KFe2Co
_chemical_formula_sum 'K1 Fe2 Co1'
_space_group_name_H-M_alt 'P 1'
_space_group_IT_number 1
_cell_length_a 2.732
_cell_length_b 3.514
_cell_length_c 7.676
_cell_angle_alpha 90.00
_cell_angle_beta 90.00
_cell_angle_gamma 90.00
loop_
_space_group_symop_operation_xyz
'x,y,z'
loop_
_atom_site_label
_atom_site_type_symbol
_atom_site_fract_x
_atom_site_fract_y
_atom_site_fract_z
_atom_site_occupancy
Co1 Co 0.500 0.500 0.750 1
Fe1 Fe 0.000 0.000 0.896 1
Fe2 Fe 0.000 0.000 0.604 1
K1 K 0.500 0.500 0.250 1
# Relative energy among the computed polymorphs   0 meV per atom
# Raw total energy   -22.57 eV/f.u.
# Energy of formation   0.64 eV per atom
# Crystal system   orthorhombic
# Volume   18.421 Å³ per atom

***

# KFe2Co | the Alexandria database | GGA-PBE | relaxed
data_KFe2Co
_chemical_formula_sum 'K1 Fe2 Co1'
_space_group_name_H-M_alt 'P 1'
_space_group_IT_number 1
_cell_length_a 4.319
_cell_length_b 4.319
_cell_length_c 4.319
_cell_angle_alpha 60.00
_cell_angle_beta 60.00
_cell_angle_gamma 60.00
loop_
_space_group_symop_operation_xyz
'x,y,z'
loop_
_atom_site_label
_atom_site_type_symbol
_atom_site_fract_x
_atom_site_fract_y
_atom_site_fract_z
_atom_site_occupancy
K1 K 0.000 0.000 0.000 1
Co1 Co 0.500 0.500 0.500 1
Fe1 Fe 0.250 0.250 0.250 1
Fe2 Fe 0.750 0.750 0.750 1
# Relative energy among the computed polymorphs   1182 meV per atom
# Raw total energy   -17.84 eV/f.u.
# Energy of formation   1.82 eV per atom
# Crystal system   cubic
# Volume   14.244 Å³ per atom

***

# KFe2Co | the Alexandria database | GGA-PBE | relaxed
data_KFe2Co
_chemical_formula_sum 'K1 Fe2 Co1'
_space_group_name_H-M_alt 'P 1'
_space_group_IT_number 1
_cell_length_a 3.567
_cell_length_b 2.722
_cell_length_c 7.800
_cell_angle_alpha 76.74
_cell_angle_beta 90.00
_cell_angle_gamma 90.00
loop_
_space_group_symop_operation_xyz
'x,y,z'
loop_
_atom_site_label
_atom_site_type_symbol
_atom_site_fract_x
_atom_site_fract_y
_atom_site_fract_z
_atom_site_occupancy
Co1 Co 0.500 0.750 0.750 1
Fe1 Fe 0.000 0.098 0.896 1
Fe2 Fe 0.000 0.402 0.604 1
K1 K 0.500 0.250 0.250 1
# Relative energy among the computed polymorphs   0 meV per atom
# Raw total energy   -22.57 eV/f.u.
# Energy of formation   0.64 eV per atom
# Crystal system   monoclinic
# Volume   18.428 Å³ per atom

***

# KFe2Co | the Alexandria database | GGA-PBE | relaxed
data_KFe2Co
_chemical_formula_sum 'K1 Fe2 Co1'
_space_group_name_H-M_alt 'P 1'
_space_group_IT_number 1
_cell_length_a 4.066
_cell_length_b 4.017
_cell_length_c 4.017
_cell_angle_alpha 90.00
_cell_angle_beta 90.00
_cell_angle_gamma 90.00
loop_
_space_group_symop_operation_xyz
'x,y,z'
loop_
_atom_site_label
_atom_site_type_symbol
_atom_site_fract_x
_atom_site_fract_y
_atom_site_fract_z
_atom_site_occupancy
Co1 Co 0.500 0.000 0.500 1
Fe1 Fe 0.000 0.000 0.000 1
Fe2 Fe 0.000 0.500 0.500 1
K1 K 0.500 0.500 0.000 1
# Relative energy among the computed polymorphs   734 meV per atom
# Raw total energy   -19.63 eV/f.u.
# Energy of formation   1.37 eV per atom
# Crystal system   tetragonal
# Volume   16.402 Å³ per atom

***

# KFe2Co | the Alexandria database | GGA-PBE | relaxed
data_KFe2Co
_chemical_formula_sum 'K1 Fe2 Co1'
_space_group_name_H-M_alt 'P 1'
_space_group_IT_number 1
_cell_length_a 3.539
_cell_length_b 2.752
_cell_length_c 7.864
_cell_angle_alpha 73.65
_cell_angle_beta 90.00
_cell_angle_gamma 90.00
loop_
_space_group_symop_operation_xyz
'x,y,z'
loop_
_atom_site_label
_atom_site_type_symbol
_atom_site_fract_x
_atom_site_fract_y
_atom_site_fract_z
_atom_site_occupancy
Co1 Co 0.500 0.642 0.853 1
Fe1 Fe 0.000 0.032 0.991 1
Fe2 Fe 0.500 0.403 0.148 1
K1 K 0.000 0.422 0.508 1
# Relative energy among the computed polymorphs   1 meV per atom
# Raw total energy   -22.57 eV/f.u.
# Energy of formation   0.64 eV per atom
# Crystal system   monoclinic
# Volume   18.378 Å³ per atom

***

# KFe2Co | the Alexandria database | GGA-PBE | relaxed
data_KFe2Co
_chemical_formula_sum 'K1 Fe2 Co1'
_space_group_name_H-M_alt 'P 1'
_space_group_IT_number 1
_cell_length_a 9.848
_cell_length_b 9.848
_cell_length_c 9.848
_cell_angle_alpha 15.84
_cell_angle_beta 15.84
_cell_angle_gamma 15.84
loop_
_space_group_symop_operation_xyz
'x,y,z'
loop_
_atom_site_label
_atom_site_type_symbol
_atom_site_fract_x
_atom_site_fract_y
_atom_site_fract_z
_atom_site_occupancy
Co1 Co 0.750 0.750 0.750 1
Fe1 Fe 0.017 0.017 0.017 1
Fe2 Fe 0.483 0.483 0.483 1
K1 K 0.250 0.250 0.250 1
# Relative energy among the computed polymorphs   178 meV per atom
# Raw total energy   -21.85 eV/f.u.
# Energy of formation   0.82 eV per atom
# Crystal system   trigonal
# Volume   15.507 Å³ per atom

***

# KFe3Co | the Alexandria database | GGA-PBE | relaxed
data_KFe3Co
_chemical_formula_sum 'K1 Fe3 Co1'
_space_group_name_H-M_alt 'P 1'
_space_group_IT_number 1
_cell_length_a 4.571
_cell_length_b 4.571
_cell_length_c 4.571
_cell_angle_alpha 90.00
_cell_angle_beta 90.00
_cell_angle_gamma 90.00
loop_
_space_group_symop_operation_xyz
'x,y,z'
loop_
_atom_site_label
_atom_site_type_symbol
_atom_site_fract_x
_atom_site_fract_y
_atom_site_fract_z
_atom_site_occupancy
K1 K 0.500 0.500 0.500 1
Co1 Co 0.000 0.000 0.000 1
Fe1 Fe 0.000 0.500 0.000 1
Fe2 Fe 0.000 0.000 0.500 1
Fe3 Fe 0.500 0.000 0.000 1
# Relative energy among the computed polymorphs   0 meV per atom
# Raw total energy   -28.49 eV/f.u.
# Energy of formation   1.02 eV per atom
# Crystal system   cubic
# Volume   19.107 Å³ per atom

***

Copy entry 3 word for word.
# KFeCo4 | the Alexandria database | GGA-PBE | relaxed
data_KFeCo4
_chemical_formula_sum 'K1 Fe1 Co4'
_space_group_name_H-M_alt 'P 1'
_space_group_IT_number 1
_cell_length_a 4.958
_cell_length_b 4.958
_cell_length_c 4.958
_cell_angle_alpha 60.00
_cell_angle_beta 60.00
_cell_angle_gamma 60.00
loop_
_space_group_symop_operation_xyz
'x,y,z'
loop_
_atom_site_label
_atom_site_type_symbol
_atom_site_fract_x
_atom_site_fract_y
_atom_site_fract_z
_atom_site_occupancy
K1 K 0.000 0.000 0.000 1
Fe1 Fe 0.750 0.750 0.750 1
Co1 Co 0.870 0.377 0.377 1
Co2 Co 0.377 0.377 0.870 1
Co3 Co 0.377 0.870 0.377 1
Co4 Co 0.377 0.377 0.377 1
# Raw total energy   -33.51 eV/f.u.
# Energy of formation   0.75 eV per atom
# Crystal system   cubic
# Volume   14.362 Å³ per atom

***

Question: Look up the volume of the second one.
Answer: 16.742 Å³ per atom

***

Question: Number 11 is which compound?
Answer: KFe2Co